Model A:
Entry from Alexandria via LeMat-Bulk: crystalline LaNd4Ag at its relaxed geometry (PBE).

The structure in extended XYZ format:
```
12
Lattice="5.612 0.000 0.000 0.000 9.140 0.000 -2.806 0.000 7.935" Properties=species:S:1:pos:R:3 pbc="T T T"
Nd 0.000 8.739 7.662
Nd 0.000 9.122 4.225
Nd 2.806 4.552 3.710
Nd 2.806 4.169 0.273
Nd 2.806 1.974 6.454
Nd 2.806 1.263 2.585
Nd 0.000 6.544 1.481
Nd 0.000 5.833 5.349
La 2.806 7.500 5.833
La 0.000 2.929 2.102
Ag 0.000 2.785 5.279
Ag 2.806 7.355 2.656
```

Values from the calculation:
**Crystal system**: orthorhombic

---

Model B:
Entry from Alexandria via LeMat-Bulk: crystalline LaNd4Ag at its relaxed geometry (PBE).

The structure in extended XYZ format:
```
6
Lattice="3.721 0.000 0.000 0.000 3.721 0.000 0.000 0.000 14.241" Properties=species:S:1:pos:R:3 pbc="T T T"
Nd 1.860 1.860 11.628
Nd 0.000 0.000 9.029
Nd 1.860 1.860 2.613
Nd 0.000 0.000 5.212
La 0.000 0.000 0.000
Ag 1.860 1.860 7.121
```

Values from the calculation:
**Crystal system**: tetragonal

---

It turns out model B is the most stable, with the second structure 176 meV/atom higher.

---

Model A:
Entry from Alexandria via LeMat-Bulk: crystalline La6Nd2Ag at its relaxed geometry (PBE).

The structure in extended XYZ format:
```
9
Lattice="-0.574 1.688 -3.346 -7.362 -6.205 -1.867 -1.776 8.479 4.583" Properties=species:S:1:pos:R:3 pbc="T T T"
Nd -5.500 -1.307 0.285
Nd -3.635 3.584 2.432
La -8.747 -0.115 -0.704
La -7.830 -3.958 -0.653
La -3.771 1.712 -0.637
La -4.839 -2.993 -2.827
La -1.955 -1.648 -0.496
La -6.716 1.674 1.998
Ag -0.292 0.840 -1.674
```

Values from the calculation:
**Crystal system**: orthorhombic

---

Model B:
Entry from Alexandria via LeMat-Bulk: crystalline La6Nd2Ag at its relaxed geometry (PBE).

The structure in extended XYZ format:
```
9
Lattice="5.770 0.000 -0.319 0.000 10.259 0.000 -2.606 -5.130 5.337" Properties=species:S:1:pos:R:3 pbc="T T T"
Nd 0.180 0.000 3.194
Nd 2.984 5.130 1.824
La 3.079 -1.964 3.324
La 2.885 1.709 -0.160
La 2.885 8.551 -0.160
La 3.079 1.964 3.324
La 0.085 7.094 1.695
La 0.085 3.166 1.695
Ag 0.000 0.000 0.000
```

Values from the calculation:
**Crystal system**: monoclinic

---

It turns out model A is the most stable, with the second structure 121 meV/atom higher.